# 1
Ac5BiPb4, relaxed, DFT PBE-GGA; space group = I4, No. 79; ΔH_f (0 K) = -0.512 eV per atom; uncorrected energy = -4.44 eV per atom
1.0
-5.450 5.450 3.438
5.450 -5.450 3.438
5.450 5.450 -3.438
Ac Bi Pb
5 1 4
direct
0.000 0.000 0.000
0.202 0.596 0.800
0.402 0.202 0.606
0.596 0.796 0.394
0.796 0.402 0.200
0.500 0.500 0.000
0.100 0.299 0.401
0.299 0.898 0.199
0.699 0.100 0.801
0.898 0.699 0.599

# 2
K2BaCu2Br7, relaxed, DFT PBE-GGA; space group = C2/m, No. 12; uncorrected energy = -3.22 eV per atom
1.0
3.671 -3.671 0.000
3.671 3.671 0.000
-3.646 0.000 13.447
K Ba Cu Br
2 1 2 7
direct
0.181 0.181 0.364
0.819 0.819 0.636
0.000 0.000 0.000
0.402 0.402 0.798
0.598 0.598 0.202
0.089 0.589 0.181
0.306 0.306 0.609
0.411 0.911 0.819
0.500 0.500 0.000
0.589 0.089 0.181
0.694 0.694 0.391
0.911 0.411 0.819

# 3
Rb2NbTc2, relaxed, DFT PBE-GGA; space group = I4/mmm, No. 139; ΔH_f (0 K) = 2.675 eV per atom; uncorrected energy = -3.87 eV per atom
1.0
-2.683 2.683 4.858
2.683 -2.683 4.858
2.683 2.683 -4.858
Rb Nb Tc
2 1 2
direct
0.142 0.142 0.000
0.858 0.858 0.000
0.500 0.500 0.000
0.250 0.750 0.500
0.750 0.250 0.500

# 4
Sr2Ga6Ni, relaxed, DFT PBE-GGA; space group = P-3m1, No. 164; ΔH_f (0 K) = -0.366 eV per atom; uncorrected energy = -3.40 eV per atom
1.0
6.392 0.000 0.000
-3.196 5.536 0.000
0.000 0.000 5.431
Sr Ga Ni
2 6 1
direct
0.333 0.667 0.301
0.667 0.333 0.699
0.160 0.321 0.809
0.160 0.840 0.809
0.321 0.160 0.191
0.679 0.840 0.809
0.840 0.160 0.191
0.840 0.679 0.191
0.000 0.000 0.500

# 5
Ni2AgTe, relaxed, DFT PBE-GGA; space group = R3m, No. 160; uncorrected energy = -4.23 eV per atom
1.0
2.054 1.186 4.753
-2.054 1.186 4.753
0.000 -2.372 4.753
Ni Ag Te
2 1 1
direct
0.000 0.000 0.000
0.374 0.374 0.374
0.571 0.571 0.571
0.773 0.773 0.773

# 6
Sr2ScZnO5, relaxed, DFT PBE-GGA; space group = Cmc2_1, No. 36; uncorrected energy = -6.42 eV per atom
1.0
1.670 -7.093 0.000
1.670 7.093 0.000
0.000 0.000 10.454
Sr Sc Zn O
4 2 2 10
direct
0.116 0.884 0.500
0.131 0.869 0.090
0.869 0.131 0.590
0.884 0.116 0.000
0.215 0.785 0.802
0.785 0.215 0.302
0.490 0.510 0.273
0.510 0.490 0.773
0.061 0.939 0.840
0.287 0.713 0.437
0.298 0.702 0.173
0.364 0.636 0.804
0.500 0.500 0.087
0.500 0.500 0.587
0.636 0.364 0.304
0.702 0.298 0.673
0.713 0.287 0.937
0.939 0.061 0.340